Entry from Alexandria via LeMat-Bulk: a relaxed structure of YbSmPt2 (PBE).

Geometry as POSCAR:
```
YbSmPt2
1.0
4.978 0.000 0.000
2.489 4.311 0.000
2.489 1.437 4.065
Pt Yb Sm
2 1 1
direct
0.250 0.250 0.250 Pt
0.750 0.750 0.750 Pt
0.000 0.000 0.000 Yb
0.500 0.500 0.500 Sm
```

symmetry	Fm-3m
N(E_F)	3.91	states/eV/atom
DFT formation energy	-1.11	eV/atom